VASP calculation (PBE) on a geometry-optimized Li3NiSn2 structure.

The structure in extended XYZ format:
```
12
Lattice="-2.640 8.326 2.544 2.640 -8.326 2.544 2.640 8.326 -2.544" Properties=species:S:1:pos:R:3 pbc="T T T"
Li 0.859 3.343 0.000
Li 0.000 0.000 1.272
Li 3.498 4.982 0.000
Li -0.859 3.343 2.544
Li 0.000 0.000 3.816
Li 1.781 4.982 2.544
Ni 2.640 0.000 1.272
Ni 0.000 8.326 1.272
Sn 3.553 2.070 0.000
Sn 0.913 6.256 0.000
Sn 1.727 2.070 2.544
Sn -0.913 6.256 2.544
```

For the formation energy, the calculation gives -0.26 eV/atom. The value obtained for the offset from the most stable computed form is 0.00 eV/f.u. The calculation puts the final energy at -3.514 eV per atom. The calculation puts the density of states at the Fermi level at 4.02 states/eV/f.u.

VASP calculation (PBE) on a geometry-optimized Ac6Tl2Co structure.

The structure in extended XYZ format:
```
18
Lattice="7.776 0.000 0.000 0.000 7.779 0.000 -7.638 0.000 11.184" Properties=species:S:1:pos:R:3 pbc="T T T"
Ac -0.539 0.035 2.746
Ac -4.358 3.854 8.338
Ac 1.610 5.529 0.368
Ac -2.209 6.140 5.961
Ac 2.257 1.647 0.395
Ac -1.562 2.242 5.987
Ac 1.700 5.537 5.197
Ac -2.118 6.132 10.790
Ac 2.347 1.640 5.224
Ac -1.472 2.250 10.816
Ac 4.496 3.925 2.846
Ac 0.677 7.744 8.438
Tl -3.662 0.314 8.421
Tl 0.157 3.576 2.829
Tl -0.018 4.203 8.356
Tl 3.800 7.466 2.764
Co 0.000 0.000 0.000
Co -3.819 3.890 5.592
```

For the formation energy, the calculation gives -0.18 eV/atom. The calculation puts the final energy at -4.231 eV per atom. The calculation puts the density of states at the Fermi level at 9.43 states/eV/f.u.

VASP calculation (PBE) on a geometry-optimized TcBrCl3 structure.

The structure in extended XYZ format:
```
10
Lattice="6.746 0.000 0.000 0.000 7.452 0.000 0.000 0.000 5.799" Properties=species:S:1:pos:R:3 pbc="T T T"
Tc 0.000 0.015 0.000
Tc 3.373 7.436 2.899
Br 0.000 2.150 1.175
Br 3.373 5.302 4.075
Cl 0.000 5.481 4.648
Cl 1.677 6.462 1.444
Cl 1.696 0.990 4.343
Cl 3.373 1.971 1.748
Cl 5.050 0.990 4.343
Cl 5.070 6.462 1.444
```

The value obtained for the offset from the most stable computed form is 0.42 eV/f.u. The raw formation energy comes out at -49 kJ per mole of atoms. The calculation puts the final energy at -4.024 eV per atom. The calculation puts the density of states at the Fermi level at 1.26 states/eV/f.u.

VASP calculation (PBE) on a geometry-optimized BaSrSi2 structure.

The structure in extended XYZ format:
```
4
Lattice="2.026 1.170 9.438 -2.026 1.170 9.438 0.000 -2.339 9.438" Properties=species:S:1:pos:R:3 pbc="T T T"
Ba 0.000 0.000 0.000
Sr 0.000 0.000 14.158
Si 0.000 0.000 7.001
Si 0.000 0.000 21.315
```

The value obtained for the offset from the most stable computed form is 2.50 eV/f.u. The raw formation energy comes out at 18 kJ per mole of atoms. The calculation puts the final energy at -3.426 eV per atom. The calculation puts the density of states at the Fermi level at 4.99 states/eV/f.u.

VASP calculation (PBE) on a geometry-optimized Be2CuHg structure.

The structure in extended XYZ format:
```
4
Lattice="3.977 0.000 0.000 0.000 3.977 0.000 0.000 0.000 3.145" Properties=species:S:1:pos:R:3 pbc="T T T"
Be 0.000 1.989 0.000
Be 1.989 0.000 0.000
Cu 0.000 0.000 1.573
Hg 1.989 1.989 1.573
```

For the formation energy, the calculation gives 0.29 eV/atom. The calculation puts the final energy at -2.673 eV per atom. The calculation puts the density of states at the Fermi level at 1.03 states/eV/f.u.

VASP calculation (PBE) on a geometry-optimized Nb2Zn2Cd structure.

The structure in extended XYZ format:
```
5
Lattice="-1.922 1.922 6.496 1.922 -1.922 6.496 1.922 1.922 -6.496" Properties=species:S:1:pos:R:3 pbc="T T T"
Nb 0.000 0.000 1.199
Nb 0.000 0.000 11.793
Zn 1.922 0.000 3.248
Zn 0.000 1.922 3.248
Cd 0.000 0.000 6.496
```

For the formation energy, the calculation gives 0.44 eV/atom. The value obtained for the offset from the most stable computed form is 1.44 eV/f.u. The calculation puts the final energy at -4.277 eV per atom. The calculation puts the density of states at the Fermi level at 2.68 states/eV/f.u.

VASP calculation (PBE) on a geometry-optimized LuScGa structure.

The structure in extended XYZ format:
```
3
Lattice="-1.644 1.644 6.268 1.644 -1.644 6.268 1.644 1.644 -6.268" Properties=species:S:1:pos:R:3 pbc="T T T"
Lu 0.000 0.000 0.000
Sc 0.000 0.000 8.780
Ga 0.000 0.000 4.293
```

For the formation energy, the calculation gives -0.39 eV/atom. The value obtained for the offset from the most stable computed form is 0.00 eV/f.u. The calculation puts the final energy at -5.015 eV per atom. The calculation puts the density of states at the Fermi level at 2.71 states/eV/f.u.

VASP calculation (PBE) on a geometry-optimized Ce6P3SeS2 structure.

The structure in extended XYZ format:
```
12
Lattice="8.916 -2.046 0.000 8.916 2.046 0.000 -1.872 0.000 7.975" Properties=species:S:1:pos:R:3 pbc="T T T"
Ce 17.380 0.000 1.916
Ce -1.421 0.000 6.059
Ce 5.098 0.000 3.320
Ce 4.239 0.000 7.301
Ce 11.720 0.000 0.674
Ce 10.861 0.000 4.655
P 2.328 0.000 2.652
P 8.916 0.000 0.000
P 13.632 0.000 5.323
Se 7.980 0.000 3.987
S 1.422 0.000 6.649
S 14.538 0.000 1.326
```

The raw formation energy comes out at -169 kJ per mole of atoms. The calculation puts the final energy at -7.053 eV per atom. The calculation puts the density of states at the Fermi level at 29.75 states/eV/f.u.